CaNiW2 after structural relaxation, computed with PBE.

```
CaNiW2
1.0
4.556 0.000 0.000
2.278 3.946 0.000
2.278 1.315 3.720
Ni Ca W
1 1 2
Direct
0.750 0.750 0.750 Ni
0.500 0.500 0.500 Ca
0.000 0.000 0.000 W
0.250 0.250 0.250 W
```

Properties
For the energy relative to the elements, the calculation gives 642 meV per atom. The total magnetic moment comes out at 0.00 Bohr magnetons per cell. The space group is F-43m. As for the total energy: -7.78 eV/atom. The excess energy over the best structure of this formula in the dataset is 205 meV/atom.